The following is a DFT calculation (PBE-GGA) of an optimized crystal structure of Ac6Ir2Se3O.

Cell: 9.8866 9.8866 9.0124 Å, 107.66 107.66 25.21°
Closest atoms and distances in Å follow each position.
Fractional coordinates of all 12 atoms:
Ac 0.0048 0.0048 0.2352  1 Ir 2.86, 2 O 3.01, 1 Se 3.18
Ac 0.3254 0.3254 0.4282  3 Ir 3.02-3.05, 3 Se 3.23-3.26
Ac 0.3489 0.3489 0.9076  1 O 2.77, 2 Ir 2.98
Ac 0.6511 0.6511 0.0924  1 O 2.77, 2 Ir 2.98
Ac 0.6746 0.6746 0.5718  3 Ir 3.02-3.05, 3 Se 3.23-3.26
Ac 0.9952 0.9952 0.7648  1 Ir 2.86, 2 O 3.01, 1 Se 3.18
Ir 0.1607 0.1607 0.3258  6 Ac 2.86-3.05
Ir 0.8393 0.8393 0.6742  6 Ac 2.86-3.05
Se 0.1672 0.1672 0.8379  6 Ac 3.18-3.36
Se 0.5000 0.5000 0.5000  6 Ac 3.23-3.24
Se 0.8328 0.8328 0.1621  6 Ac 3.18-3.36
O 0.5000 0.5000 0.0000  6 Ac 2.77-3.01

Values from the calculation:
E, eV/atom: -6.359
Formation energy without anion corrections, meV per atom: -1544.0



The following is a DFT calculation (PBE-GGA) of an optimized crystal structure of AcSiIrO6.

Cell: 5.0786 5.0786 5.3604 Å, 90.00 90.00 120.00°
Closest atoms and distances in Å follow each position.
Fractional coordinates of all 9 atoms:
Ac 0.0000 0.0000 0.0000  6 O 2.53
Si 0.6667 0.3333 0.5000  6 O 1.81
Ir 0.3333 0.6667 0.5000  6 O 1.99
O 0.3916 0.0262 0.3065  1 Si 1.81, 1 Ir 1.99
O 0.3916 0.3654 0.6935  1 Si 1.81, 1 Ir 1.99
O 0.6346 0.0262 0.6935  1 Si 1.81, 1 Ir 1.99
O 0.6346 0.6084 0.3065  1 Si 1.81, 1 Ir 1.99
O 0.9738 0.3654 0.3065  1 Si 1.81, 1 Ir 1.99
O 0.9738 0.6084 0.6935  1 Si 1.81, 1 Ir 1.99

Values from the calculation:
E, eV/atom: -7.490
Formation energy without anion corrections, meV per atom: -2141.4



The following is a DFT calculation (PBE-GGA) of an optimized crystal structure of AcSmIrO6.

Cell: 5.6434 5.6434 5.2735 Å, 90.00 90.00 120.00°
Closest atoms and distances in Å follow each position.
Fractional coordinates of all 9 atoms:
Ac 0.0000 0.0000 0.0000  6 O 2.54
Sm 0.3333 0.6667 0.5000  6 O 2.31
Ir 0.6667 0.3333 0.5000  6 O 1.97
O 0.3820 0.0468 0.7134  1 Ir 1.97
O 0.3820 0.3352 0.2866  1 Ir 1.97
O 0.6648 0.0468 0.2866  1 Ir 1.97
O 0.6648 0.6180 0.7134  1 Ir 1.97
O 0.9532 0.3352 0.7134  1 Ir 1.97
O 0.9532 0.6180 0.2866  1 Ir 1.97

Values from the calculation:
E, eV/atom: -7.433
Formation energy without anion corrections, meV per atom: -2161.7



The following is a DFT calculation (PBE-GGA) of an optimized crystal structure of AcSm2IrO8.

Cell: 5.1951 7.1324 5.1988 Å, 90.00 90.98 90.00°
Closest atoms and distances in Å follow each position.
Fractional coordinates of all 12 atoms:
Ac 0.0000 0.0000 0.0000  6 O 2.37-2.55
Sm 0.5000 0.2521 0.5000  4 O 2.24-2.33
Sm 0.5000 0.7479 0.5000  4 O 2.24-2.33
Ir 0.0000 0.5000 0.0000  6 O 1.92-1.94
O 0.1838 0.3038 0.1846  1 Ir 1.94
O 0.1838 0.6962 0.1846  1 Ir 1.94
O 0.2593 0.5000 0.7421  1 Ir 1.92
O 0.3209 0.0000 0.6810  2 Sm 2.24, 1 Ac 2.37
O 0.6791 0.0000 0.3190  2 Sm 2.24, 1 Ac 2.37
O 0.7407 0.5000 0.2579  1 Ir 1.92
O 0.8162 0.3038 0.8154  1 Ir 1.94
O 0.8162 0.6962 0.8154  1 Ir 1.94

Values from the calculation:
E, eV/atom: -7.446
Formation energy without anion corrections, meV per atom: -2273.3



The following is a DFT calculation (PBE-GGA) of an optimized crystal structure of Ac2SmIrO8.

Cell: 4.5456 7.3209 5.5868 Å, 90.00 96.41 90.00°
Closest atoms and distances in Å follow each position.
Fractional coordinates of all 12 atoms:
Ac 0.0000 0.2423 0.0000  4 O 2.35-2.63
Ac 0.0000 0.7577 0.0000  4 O 2.35-2.63
Sm 0.5000 0.5000 0.5000  6 O 2.28-2.52
Ir 0.5000 0.0000 0.5000  6 O 1.85-2.01
O 0.0660 0.5000 0.2514  1 Sm 2.28, 2 Ac 2.35
O 0.1186 0.0000 0.3461  1 Ir 1.85
O 0.4285 0.2066 0.7231  1 Ir 2.01
O 0.4285 0.7934 0.7231  1 Ir 2.01
O 0.5715 0.2066 0.2769  1 Ir 2.01
O 0.5715 0.7934 0.2769  1 Ir 2.01
O 0.8814 0.0000 0.6539  1 Ir 1.85
O 0.9340 0.5000 0.7486  1 Sm 2.28, 2 Ac 2.35

Values from the calculation:
E, eV/atom: -7.341
Formation energy without anion corrections, meV per atom: -2218.9



The following is a DFT calculation (PBE-GGA) of an optimized crystal structure of Ac5Sn2IrO.

Cell: 10.2331 10.2331 13.0646 Å, 90.00 90.00 153.69°
Closest atoms and distances in Å follow each position.
Fractional coordinates of all 18 atoms:
Ac 0.9997 0.0003 0.0000  1 O 2.39
Ac 0.0003 0.9997 0.5000  1 O 2.39
Ac 0.1510 0.8490 0.7179  1 Ir 2.89
Ac 0.1864 0.8136 0.0905  1 O 2.75, 2 Ir 3.05
Ac 0.2187 0.7813 0.3874  2 Ir 3.04
Ac 0.4457 0.5543 0.7361  2 O 2.53
Ac 0.5543 0.4457 0.2361  2 O 2.53
Ac 0.7813 0.2187 0.8874  2 Ir 3.04
Ac 0.8136 0.1864 0.5905  1 O 2.75, 2 Ir 3.05
Ac 0.8490 0.1510 0.2179  1 Ir 2.89
Sn 0.3769 0.6231 0.0228  6 Ac 3.39-3.50
Sn 0.3949 0.6051 0.4021  7 Ac 3.39-3.76
Sn 0.6051 0.3949 0.9021  7 Ac 3.39-3.76
Sn 0.6231 0.3769 0.5228  6 Ac 3.39-3.50
Ir 0.2956 0.7044 0.7392  6 Ac 2.89-3.05
Ir 0.7044 0.2956 0.2392  6 Ac 2.89-3.05
O 0.0564 0.9436 0.1613  3 Ac 2.39-2.53
O 0.9436 0.0564 0.6613  3 Ac 2.39-2.53

Values from the calculation:
E, eV/atom: -5.819
Formation energy without anion corrections, meV per atom: -1111.5



The following is a DFT calculation (PBE-GGA) of an optimized crystal structure of SrAcIrO6.

Cell: 5.9579 5.9579 9.5633 Å, 90.00 90.00 120.00°
Closest atoms and distances in Å follow each position.
Fractional coordinates of all 18 atoms:
Sr 0.0000 0.0000 0.0000  6 O 2.55
Sr 0.0000 0.0000 0.5000  6 O 2.55
Ac 0.3333 0.6667 0.2500  6 O 2.47
Ac 0.6667 0.3333 0.7500  6 O 2.47
Ir 0.3333 0.6667 0.7500  6 O 1.93
Ir 0.6667 0.3333 0.2500  6 O 1.93
O 0.0668 0.3961 0.6369  1 Ir 1.93
O 0.0668 0.6707 0.8631  1 Ir 1.93
O 0.3293 0.3961 0.8631  1 Ir 1.93
O 0.3293 0.9332 0.6369  1 Ir 1.93
O 0.3961 0.0668 0.1369  1 Ir 1.93
O 0.3961 0.3293 0.3631  1 Ir 1.93
O 0.6039 0.6707 0.6369  1 Ir 1.93
O 0.6039 0.9332 0.8631  1 Ir 1.93
O 0.6707 0.0668 0.3631  1 Ir 1.93
O 0.6707 0.6039 0.1369  1 Ir 1.93
O 0.9332 0.3293 0.1369  1 Ir 1.93
O 0.9332 0.6039 0.3631  1 Ir 1.93

Values from the calculation:
E, eV/atom: -6.798
Formation energy without anion corrections, meV per atom: -1864.1



The following is a DFT calculation (PBE-GGA) of an optimized crystal structure of SrAc2IrO6.

Cell: 5.9011 6.2238 10.2662 Å, 90.00 124.10 90.00°
Closest atoms and distances in Å follow each position.
Fractional coordinates of all 20 atoms:
Sr 0.0000 0.0000 0.0000  6 O 2.41-2.46
Sr 0.0000 0.5000 0.5000  6 O 2.41-2.46
Ac 0.2671 0.0589 0.7483  5 O 2.49-2.73
Ac 0.2671 0.4411 0.2483  5 O 2.49-2.73
Ac 0.7329 0.5589 0.7517  5 O 2.49-2.73
Ac 0.7329 0.9411 0.2517  5 O 2.49-2.73
Ir 0.5000 0.0000 0.5000  6 O 2.05-2.07
Ir 0.5000 0.5000 0.0000  6 O 2.05-2.07
O 0.1620 0.0481 0.2753  1 Ir 2.06
O 0.1620 0.4519 0.7753  1 Ir 2.06
O 0.2701 0.6806 0.0523  1 Ir 2.05
O 0.2701 0.8194 0.5523  1 Ir 2.05
O 0.3951 0.2238 0.0662  1 Ir 2.07
O 0.3951 0.2762 0.5662  1 Ir 2.07
O 0.6049 0.7238 0.4338  1 Ir 2.07
O 0.6049 0.7762 0.9338  1 Ir 2.07
O 0.7299 0.1806 0.4477  1 Ir 2.05
O 0.7299 0.3194 0.9477  1 Ir 2.05
O 0.8380 0.5481 0.2247  1 Ir 2.06
O 0.8380 0.9519 0.7247  1 Ir 2.06

Values from the calculation:
E, eV/atom: -7.287
Formation energy without anion corrections, meV per atom: -2435.7



What did the fourth record say?
The following is a DFT calculation (PBE-GGA) of an optimized crystal structure of AcSm2IrO8.

Cell: 5.1951 7.1324 5.1988 Å, 90.00 90.98 90.00°
Closest atoms and distances in Å follow each position.
Fractional coordinates of all 12 atoms:
Ac 0.0000 0.0000 0.0000  6 O 2.37-2.55
Sm 0.5000 0.2521 0.5000  4 O 2.24-2.33
Sm 0.5000 0.7479 0.5000  4 O 2.24-2.33
Ir 0.0000 0.5000 0.0000  6 O 1.92-1.94
O 0.1838 0.3038 0.1846  1 Ir 1.94
O 0.1838 0.6962 0.1846  1 Ir 1.94
O 0.2593 0.5000 0.7421  1 Ir 1.92
O 0.3209 0.0000 0.6810  2 Sm 2.24, 1 Ac 2.37
O 0.6791 0.0000 0.3190  2 Sm 2.24, 1 Ac 2.37
O 0.7407 0.5000 0.2579  1 Ir 1.92
O 0.8162 0.3038 0.8154  1 Ir 1.94
O 0.8162 0.6962 0.8154  1 Ir 1.94

Values from the calculation:
E, eV/atom: -7.446
Formation energy without anion corrections, meV per atom: -2273.3